No. 1
! DyYAgHg PBE-GGA optimized geometry; values from VASP
&SYSTEM
  ibrav = 0, nat = 16, ntyp = 4
/
ATOMIC_SPECIES
Dy 162.50 Dy.upf
Y 88.91 Y.upf
Ag 107.87 Ag.upf
Hg 200.59 Hg.upf
CELL_PARAMETERS angstrom
7.364 0.000 0.000
0.000 7.364 0.000
0.000 0.000 7.364
ATOMIC_POSITIONS crystal
Dy 0.000 0.000 0.000
Dy 0.000 0.500 0.500
Dy 0.500 0.000 0.500
Dy 0.500 0.500 0.000
Y 0.000 0.000 0.500
Y 0.000 0.500 0.000
Y 0.500 0.000 0.000
Y 0.500 0.500 0.500
Ag 0.250 0.250 0.750
Ag 0.250 0.750 0.250
Ag 0.750 0.250 0.250
Ag 0.750 0.750 0.750
Hg 0.250 0.250 0.250
Hg 0.250 0.750 0.750
Hg 0.750 0.250 0.750
Hg 0.750 0.750 0.250
! symmetry: F-43m
! E_form: -0.412 eV/atom
! calculated total energy: -63.5 eV per cell

=====

No. 2
! CaTm2Tl2Hg5 PBE-GGA optimized geometry; values from VASP
&SYSTEM
  ibrav = 0, nat = 20, ntyp = 4
/
ATOMIC_SPECIES
Ca 40.08 Ca.upf
Tm 168.93 Tm.upf
Tl 204.38 Tl.upf
Hg 200.59 Hg.upf
CELL_PARAMETERS angstrom
10.526 0.000 0.000
0.000 10.526 0.000
0.000 0.000 4.898
ATOMIC_POSITIONS crystal
Ca 0.000 0.000 0.000
Ca 0.500 0.500 0.000
Tm 0.124 0.376 0.000
Tm 0.376 0.876 0.000
Tm 0.624 0.124 0.000
Tm 0.876 0.624 0.000
Tl 0.169 0.669 0.000
Tl 0.331 0.169 0.000
Tl 0.669 0.831 0.000
Tl 0.831 0.331 0.000
Hg 0.000 0.500 0.500
Hg 0.112 0.178 0.500
Hg 0.178 0.888 0.500
Hg 0.322 0.388 0.500
Hg 0.388 0.678 0.500
Hg 0.500 0.000 0.500
Hg 0.612 0.322 0.500
Hg 0.678 0.612 0.500
Hg 0.822 0.112 0.500
Hg 0.888 0.822 0.500
! symmetry: P4/mbm
! E_form: -0.254 eV/atom
! calculated total energy: -39.4 eV per cell

=====

No. 3
! MgP2WCl PBE-GGA optimized geometry; values from VASP
&SYSTEM
  ibrav = 0, nat = 5, ntyp = 4
/
ATOMIC_SPECIES
Mg 24.30 Mg.upf
P 30.97 P.upf
W 183.84 W.upf
Cl 35.45 Cl.upf
CELL_PARAMETERS angstrom
4.693 0.000 0.000
0.000 4.693 0.000
0.000 0.000 5.002
ATOMIC_POSITIONS crystal
Mg 0.000 0.000 0.000
P 0.000 0.500 0.500
P 0.500 0.000 0.500
W 0.500 0.500 0.500
Cl 0.500 0.500 0.000
! symmetry: P4/mmm
! E_form (uncorrected): 0.1967 eV per atom
! calculated total energy: -26.2 eV per cell
! relative energy among the computed polymorphs: 0.0 meV/atom